No. 1
Below is a relaxed structure of Pr2YTm5Th, with properties calculated at the PBE level.

Its density of states at the Fermi level is 11.0 states/eV/f.u. As for the space group: I4/mcm, No. 140. Its crystal system is tetragonal. For the energy relative to the elements, the calculation gives 0.292 eV per atom.

Lattice parameters (Å, degrees): 8.6774 8.6774 9.8334 116.18 116.18 90.00
Element x y z (fractional)
Pr 0.1167 0.3833 0.0000
Pr 0.6167 0.1167 0.0000
Pr 0.3833 0.8833 0.0000
Pr 0.8833 0.6167 0.0000
Y 0.2500 0.7500 0.5000
Y 0.7500 0.2500 0.5000
Tm 0.9260 0.4260 0.2809
Tm 0.6451 0.1451 0.7191
Tm 0.0740 0.5740 0.7191
Tm 0.1451 0.0740 0.7191
Tm 0.5740 0.6451 0.7191
Tm 0.8549 0.9260 0.2809
Tm 0.4260 0.3549 0.2809
Tm 0.3549 0.8549 0.2809
Tm 0.5000 0.5000 0.0000
Tm 0.0000 0.0000 0.0000
Th 0.2500 0.2500 0.5000
Th 0.7500 0.7500 0.5000

=====

No. 2
Below is a relaxed structure of Ca2YAg, with properties calculated at the PBE level.

Its density of states at the Fermi level is 3.9 states/eV/f.u. As for the space group: Fm-3m, No. 225. The value obtained for the relative energy among the computed polymorphs is 268.5 meV per atom. Its crystal system is cubic. For the energy relative to the elements, the calculation gives 0.150 eV per atom.

Lattice parameters (Å, degrees): 5.5565 5.5565 5.5565 60.00 60.00 60.00
Element x y z (fractional)
Y 0.0000 0.0000 0.0000
Ca 0.2500 0.2500 0.2500
Ca 0.7500 0.7500 0.7500
Ag 0.5000 0.5000 0.5000

=====

No. 3
Below is a relaxed structure of ZnTc2Sb, with properties calculated at the PBE level.

Its density of states at the Fermi level is 4.7 states/eV/f.u. As for the space group: P4/mmm, No. 123. As for the uncorrected formation energy: 24.8 kJ/mol of atoms. The value obtained for the relative energy among the computed polymorphs is 154.8 meV per atom. Its crystal system is tetragonal.

Lattice parameters (Å, degrees): 3.2267 3.2267 6.0831 90.00 90.00 90.00
Element x y z (fractional)
Sb 0.5000 0.5000 0.7500
Tc 0.0000 0.0000 0.0138
Tc 0.0000 0.0000 0.4862
Zn 0.5000 0.5000 0.2500